Record 1
Entry from Alexandria via LeMat-Bulk: an optimized crystal structure of NaNbW3 (PBE).

Structure (POSCAR):
```
NaNbW3
1.0
-1.993 4.419 -0.237
-2.606 -1.382 -3.854
-3.576 -1.456 2.940
W Nb Na
3 1 1
Direct
0.000 0.500 0.000
0.000 0.000 0.500
0.500 0.000 0.000
0.000 0.000 0.000
0.500 0.500 0.500
```

Values from the calculation:
The calculation puts the energy of formation from the pure elements at 212 kJ per mole of atoms. As for the symmetry: Pm-3m, No. 221.

***

Record 2
Entry from Alexandria via LeMat-Bulk: an optimized crystal structure of NaNbW2 (PBE).

Structure (POSCAR):
```
NaNbW2
1.0
7.402 0.000 0.000
0.000 7.402 0.000
3.701 3.701 2.731
Nb Na W
2 2 4
Direct
0.750 0.250 0.500
0.000 0.000 0.000
0.500 0.500 0.000
0.250 0.750 0.500
0.631 0.125 0.250
0.875 0.881 0.750
0.119 0.625 0.250
0.375 0.369 0.750
```

Values from the calculation:
The calculation puts the energy of formation from the pure elements at 150 kJ per mole of atoms. As for the symmetry: I-42d, No. 122.

***

no.,total DFT energy (no corrections) (eV/atom)
1,-7.85
2,-7.77